# 1
Computed, not measured: an optimized crystal structure of Pr2ZnIr2Pt5 at the GGA-PBE level of DFT.

The space group is P4/mbm (No. 127) and the conventional cell measures 9.672, 9.672 and 4.029 Å, with angles of 90.00, 90.00 and 90.00 degrees. The asymmetric unit holds Pr at (0.171, 0.329, 0.000), Zn at (0.000, 0.000, 0.000), Ir at (0.129, 0.629, 0.000), Pt at (0.000, 0.500, 0.500) and Pt at (0.060, 0.803, 0.500).

# 2
Computed, not measured: an optimized crystal structure of PrPu2Ir2 at the GGA-PBE level of DFT.

The space group is P-1 (No. 2) and the conventional cell measures 6.076, 6.959 and 7.588 Å, with angles of 66.32, 66.56 and 64.14 degrees. The asymmetric unit holds Pr at (0.133, 0.250, 0.252), Pu at (0.190, 0.119, 0.777), Pu at (0.416, 0.621, 0.274), Ir at (0.247, 0.670, 0.968) and Ir at (0.388, 0.828, 0.534).

# 3
Computed, not measured: an optimized crystal structure of Pr2Pu2Ir3 at the GGA-PBE level of DFT.

The space group is C2/m (No. 12) and the conventional cell measures 11.013, 4.400 and 7.714 Å, with angles of 90.00, 99.00 and 90.00 degrees. The asymmetric unit holds Pr at (0.131, 0.000, 0.357), Pu at (0.139, 0.500, 0.929), Ir at (0.000, 0.000, 0.000) and Ir at (0.192, 0.000, 0.741).

# 4
Computed, not measured: an optimized crystal structure of Pr2PuIr9 at the GGA-PBE level of DFT.

The space group is R-3m (No. 166, hexagonal axes) and the conventional cell measures 5.3571, 5.3571 and 26.6789 Å, with angles of 90.00, 90.00 and 120.00 degrees. The asymmetric unit holds Pr at (0.0000, 0.0000, 0.1396), Pu at (0.0000, 0.0000, 0.0000), Ir at (0.0000, 0.0000, 0.3325), Ir at (0.0000, 0.0000, 0.5000) and Ir at (0.0028, 0.5014, 0.0804).

# 5
Computed, not measured: an optimized crystal structure of Pr2Pu12Ir7 at the GGA-PBE level of DFT.

The space group is P-6 (No. 174) and the conventional cell measures 11.5030, 11.5030 and 4.2318 Å, with angles of 90.00, 90.00 and 120.00 degrees. The asymmetric unit holds Pr at (0.0000, 0.0000, 0.0000), Pr at (0.3333, 0.6667, 0.5000), Pu at (0.0162, 0.7384, 0.5000), Pu at (0.0967, 0.3943, 0.0000), Pu at (0.3729, 0.2041, 0.0000), Pu at (0.5448, 0.1163, 0.5000), Ir at (0.1023, 0.6350, 0.0000), Ir at (0.2171, 0.0047, 0.5000) and Ir at (0.6667, 0.3333, 0.0000).

# 6
Computed, not measured: an optimized crystal structure of Pr2Pu3Ir2 at the GGA-PBE level of DFT.

The space group is C2/m (No. 12) and the conventional cell measures 11.475, 4.155 and 8.347 Å, with angles of 90.00, 114.39 and 90.00 degrees. The asymmetric unit holds Pr at (0.154, 0.000, 0.303), Pu at (0.000, 0.500, 0.500), Pu at (0.124, 0.500, 0.944) and Ir at (0.146, 0.000, 0.724).

Number 1: uncorrected energy -6.415 eV per atom. Number 2: uncorrected energy -10.605 eV per atom. Number 3: uncorrected energy -9.672 eV per atom. Number 4: uncorrected energy -9.079 eV per atom. Number 5: uncorrected energy -11.889 eV per atom. Number 6: uncorrected energy -10.361 eV per atom.